[1]
## Rb2Er2SnSe6 (PBE)

Data for a geometry-optimized Rb2Er2SnSe6 structure.

Cell lengths 7.0974, 12.2821, 8.6041 Å; angles 90.00, 106.31, 90.00 degrees
Space group C2/m (No. 12)
Symmetry-distinct sites (fractional):
Rb1 0.0000 0.1691 0.0000
Er1 0.0000 0.3317 0.5000
Sn1 0.0000 0.0000 0.5000
Se1 0.2280 0.1612 0.6904
Se2 0.2440 0.5000 0.6871

***

[2]
## Rb2ErSnSe4 (PBE)

Data for a geometry-optimized Rb2ErSnSe4 structure.

Cell lengths 7.8788, 7.8788, 10.0768 Å; angles 90.00, 90.00, 90.00 degrees
Space group I-4 (No. 82)
Symmetry-distinct sites (fractional):
Rb1 0.0000 0.0000 0.0000
Rb2 0.0000 0.5000 0.2500
Er1 0.0000 0.5000 0.7500
Sn1 0.0000 0.0000 0.5000
Se1 0.1749 0.7506 0.6271

Results
D(E_F)	0.571	states/eV/atom

***

[3]
## Rb3SrEr2Se6 (PBE)

Data for a geometry-optimized Rb3SrEr2Se6 structure.

Cell lengths 7.4690, 12.9422, 8.4085 Å; angles 90.00, 107.31, 90.00 degrees
Space group C2/m (No. 12)
Symmetry-distinct sites (fractional):
Rb1 0.0000 0.0000 0.0000
Rb2 0.0000 0.3387 0.0000
Sr1 0.0000 0.5000 0.5000
Er1 0.0000 0.1672 0.5000
Se1 0.2093 0.0000 0.6968
Se2 0.2449 0.3216 0.6985

Results
D(E_F)	0.873	states/eV/atom

***

[4]
## Rb3Tb3ErSe8 (PBE)

Data for a geometry-optimized Rb3Tb3ErSe8 structure.

Cell lengths 8.3568, 8.3568, 24.5716 Å; angles 90.00, 90.00, 120.00 degrees
Space group R-3m (No. 166, hexagonal axes)
Symmetry-distinct sites (fractional):
Rb1 0.0000 0.5000 0.0000
Tb1 0.0000 0.5000 0.5000
Er1 0.0000 0.0000 0.5000
Se1 0.0000 0.0000 0.2322
Se2 0.0023 0.5012 0.2310

Results
D(E_F)	0.626	states/eV/atom

***

[5]
## RbTbEr4Se8 (PBE)

Data for a geometry-optimized RbTbEr4Se8 structure.

Cell lengths 8.5684, 8.5684, 21.2013 Å; angles 90.00, 90.00, 120.00 degrees
Space group R3m (No. 160, hexagonal axes)
Symmetry-distinct sites (fractional):
Rb1 0.0000 0.0000 0.0000
Tb1 0.0000 0.0000 0.6328
Er1 0.0000 0.0000 0.2526
Er2 0.1728 0.3456 0.4591
Se1 0.0000 0.0000 0.3846
Se2 0.0000 0.0000 0.8585
Se3 0.0454 0.5227 0.3848
Se4 0.1757 0.3515 0.2079

Results
D(E_F)	0.000	states/eV/atom

***

[6]
## Rb2TbErSe4 (PBE)

Data for a geometry-optimized Rb2TbErSe4 structure.

Cell lengths 7.3335, 4.2351, 8.3560 Å; angles 90.00, 106.99, 90.00 degrees
Space group P2/m (No. 10)
Symmetry-distinct sites (fractional):
Rb1 0.0000 0.0000 0.0000
Rb2 0.5000 0.5000 0.0000
Tb1 0.0000 0.5000 0.5000
Er1 0.5000 0.0000 0.5000
Se1 0.2346 0.0000 0.6958
Se2 0.2712 0.5000 0.3054

Results
D(E_F)	0.000	states/eV/atom

***

[7]
## Rb4Tb3ErSe8 (PBE)

Data for a geometry-optimized Rb4Tb3ErSe8 structure.

Cell lengths 8.4944, 8.4944, 23.9991 Å; angles 90.00, 90.00, 120.00 degrees
Space group R-3m (No. 166, hexagonal axes)
Symmetry-distinct sites (fractional):
Rb1 0.0000 0.0000 0.0000
Rb2 0.0000 0.5000 0.0000
Tb1 0.0000 0.5000 0.5000
Er1 0.0000 0.0000 0.5000
Se1 0.0000 0.0000 0.2321
Se2 0.0028 0.5014 0.2317

Results
D(E_F)	0.000	states/eV/atom

***

[8]
## RbErTeSe (PBE)

Data for a geometry-optimized RbErTeSe structure.

Cell lengths 4.3225, 4.3225, 25.2865 Å; angles 90.00, 90.00, 120.00 degrees
Space group R3m (No. 160, hexagonal axes)
Symmetry-distinct sites (fractional):
Rb1 0.0000 0.0000 0.0000
Er1 0.0000 0.0000 0.1598
Te1 0.0000 0.0000 0.5639
Se1 0.0000 0.0000 0.7675

Results
D(E_F)	0.000	states/eV/atom

***

[9]
## Rb3ErTh2Se6 (PBE)

Data for a geometry-optimized Rb3ErTh2Se6 structure.

Cell lengths 7.3649, 12.7545, 8.4706 Å; angles 90.00, 106.85, 90.00 degrees
Space group C2/m (No. 12)
Symmetry-distinct sites (fractional):
Rb1 0.0000 0.0000 0.0000
Rb2 0.0000 0.3319 0.0000
Er1 0.0000 0.5000 0.5000
Th1 0.0000 0.1664 0.5000
Se1 0.2306 0.3368 0.7024
Se2 0.2417 0.0000 0.7031

Results
D(E_F)	0.593	states/eV/atom

***

[10]
## Rb3Er2TiSe6 (PBE)

Data for a geometry-optimized Rb3Er2TiSe6 structure.

Cell lengths 7.1254, 12.3401, 8.3050 Å; angles 90.00, 106.67, 90.00 degrees
Space group C2/m (No. 12)
Symmetry-distinct sites (fractional):
Rb1 0.0000 0.0000 0.0000
Rb2 0.0000 0.3293 0.0000
Er1 0.0000 0.1662 0.5000
Ti1 0.0000 0.5000 0.5000
Se1 0.2211 0.3418 0.6889
Se2 0.2472 0.0000 0.6906

Results
D(E_F)	0.462	states/eV/atom

***

So what do the calculations give for uncorrected formation energy? Going down the list: -14.7; -8.7; -19.1; -25.0; -23.9; -13.9; -27.8; -6.1; -18.9; -18.1 eV/f.u..